[1]
The following is a DFT calculation (PBE-GGA) of a relaxed HoErBiSe crystal.

The structure belongs to space group R3m (No. 160, hexagonal axes); the cell edges are 4.1791, 4.1791 and 21.7944 Å and the angles 90.00°, 90.00° and 120.00°. The asymmetric unit holds Ho at (0.0000, 0.0000, 0.0000), Er at (0.0000, 0.0000, 0.1833), Bi at (0.0000, 0.0000, 0.4251) and Se at (0.0000, 0.0000, 0.5945).

The uncorrected formation energy is -1.193 eV per atom.

[2]
The following is a DFT calculation (PBE-GGA) of a relaxed Sm2Ho3ErBi6 crystal.

The structure belongs to space group C2/m (No. 12); the cell edges are 19.570, 4.491 and 8.983 Å and the angles 90.00°, 103.21° and 90.00°. The asymmetric unit holds Sm at (0.166, 0.000, 0.333), Ho at (0.000, 0.500, 0.500), Ho at (0.168, 0.000, 0.834), Er at (0.000, 0.500, 0.000), Bi at (0.002, 0.000, 0.752), Bi at (0.165, 0.500, 0.587) and Bi at (0.166, 0.500, 0.078).

The energy of formation is -10.3 eV per formula unit.

[3]
The following is a DFT calculation (PBE-GGA) of a relaxed Sm3Ho2ErBi6 crystal.

The structure belongs to space group C2/m (No. 12); the cell edges are 19.637, 4.508 and 9.013 Å and the angles 90.00°, 103.16° and 90.00°. The asymmetric unit holds Sm at (0.000, 0.000, 0.000), Sm at (0.167, 0.500, 0.333), Ho at (0.167, 0.500, 0.833), Er at (0.000, 0.000, 0.500), Bi at (0.001, 0.500, 0.746), Bi at (0.165, 0.000, 0.587) and Bi at (0.168, 0.000, 0.079).

The energy of formation is -10.5 eV per formula unit.

[4]
The following is a DFT calculation (PBE-GGA) of a relaxed Sm2HoErBi4 crystal.

The structure belongs to space group P2/m (No. 10); the cell edges are 7.802, 4.510 and 7.806 Å and the angles 90.00°, 109.48° and 90.00°. The asymmetric unit holds Sm at (0.000, 0.000, 0.000), Sm at (0.000, 0.500, 0.500), Ho at (0.500, 0.000, 0.500), Er at (0.500, 0.500, 0.000), Bi at (0.257, 0.000, 0.753) and Bi at (0.257, 0.500, 0.252).

The energy of formation is -7.0 eV per formula unit.

Record order is preserved below.
Total moment: 0.0 0.0 0.0 0.0 Bohr magnetons per cell